Record 1
# PBE Ho4Co2Ru, optimized geometry
# Crystal system   monoclinic
# Volume   21.60 A^3/atom
# D(E_F)   0.5342 states/eV per atom
# Size of the total moment   0.0 μB/f.u.
# Total energy   -43.364 eV per formula unit
data_Ho4Co2Ru
_cell_length_a 4.1897
_cell_length_b 5.7588
_cell_length_c 7.0590
_cell_angle_alpha 80.70
_cell_angle_beta 72.74
_cell_angle_gamma 68.67
_symmetry_space_group_name_H-M 'P 1'
_symmetry_Int_Tables_number 1
_symmetry_space_group_name_Hall 'P 1'
loop_
_atom_site_label
_atom_site_type_symbol
_atom_site_fract_x
_atom_site_fract_y
_atom_site_fract_z
Ru1 Ru 0.0000 0.0000 0.0000
Co1 Co 0.3704 0.6274 0.6318
Co2 Co 0.6296 0.3726 0.3682
Ho1 Ho 0.6941 0.7089 0.9029
Ho2 Ho 0.3059 0.2911 0.0971
Ho3 Ho 0.0875 0.2021 0.6228
Ho4 Ho 0.9125 0.7979 0.3772

---

Record 2
# PBE Ho2ScAu, optimized geometry
# Crystal system   trigonal
# ΔE to the lowest computed polymorph   0.399 eV per atom
# Volume   28.41 A^3/atom
# D(E_F)   1.5226 states/eV per atom
# Size of the total moment   0.5 μB/f.u.
# Total energy   -18.704 eV per formula unit
data_Ho2ScAu
_cell_length_a 3.5248
_cell_length_b 3.5248
_cell_length_c 10.7545
_cell_angle_alpha 80.57
_cell_angle_beta 80.57
_cell_angle_gamma 60.00
_symmetry_space_group_name_H-M 'P 1'
_symmetry_Int_Tables_number 1
_symmetry_space_group_name_Hall 'P 1'
loop_
_atom_site_label
_atom_site_type_symbol
_atom_site_fract_x
_atom_site_fract_y
_atom_site_fract_z
Au1 Au 0.5000 0.5000 0.5000
Ho1 Ho 0.9002 0.9002 0.2994
Ho2 Ho 0.0998 0.0998 0.7006
Sc1 Sc 0.0000 0.0000 0.0000

---

Record 3
# PBE InAg3F6, optimized geometry
# Crystal system   trigonal
# ΔE to the lowest computed polymorph   0.007 eV per atom
# Volume   17.01 A^3/atom
# Size of the total moment   0.0 μB/f.u.
# Formation energy from raw total energies   -1.601 eV per atom
# Total energy   -38.527 eV per formula unit
data_InAg3F6
_cell_length_a 6.9865
_cell_length_b 6.9865
_cell_length_c 6.9865
_cell_angle_alpha 92.22
_cell_angle_beta 92.22
_cell_angle_gamma 92.22
_symmetry_space_group_name_H-M 'P 1'
_symmetry_Int_Tables_number 1
_symmetry_space_group_name_Hall 'P 1'
loop_
_atom_site_label
_atom_site_type_symbol
_atom_site_fract_x
_atom_site_fract_y
_atom_site_fract_z
F1 F 0.9029 0.0477 0.7156
F2 F 0.4026 0.2157 0.5477
F3 F 0.0971 0.9523 0.2844
F4 F 0.2844 0.0971 0.9523
F5 F 0.7156 0.9029 0.0477
F6 F 0.4523 0.5974 0.7843
F7 F 0.2157 0.5477 0.4026
F8 F 0.5477 0.4026 0.2157
F9 F 0.7843 0.4523 0.5974
F10 F 0.0477 0.7156 0.9029
F11 F 0.9523 0.2844 0.0971
F12 F 0.5974 0.7843 0.4523
Ag1 Ag 0.5297 0.9708 0.7499
Ag2 Ag 0.2501 0.4703 0.0292
Ag3 Ag 0.7499 0.5297 0.9708
Ag4 Ag 0.9708 0.7499 0.5297
Ag5 Ag 0.4703 0.0292 0.2501
Ag6 Ag 0.0292 0.2501 0.4703
In1 In 0.5000 0.5000 0.5000
In2 In 0.0000 0.0000 0.0000

---

Record 4
# PBE RbWN2, optimized geometry
# Crystal system   trigonal
# ΔE to the lowest computed polymorph   1.607 eV per atom
# Volume   18.42 A^3/atom
# D(E_F)   0.7523 states/eV per atom
# Size of the total moment   1.7 μB/f.u.
# Formation energy from raw total energies   1.177 eV per atom
# Total energy   -25.862 eV per formula unit
data_RbWN2
_cell_length_a 8.1787
_cell_length_b 8.1787
_cell_length_c 8.1787
_cell_angle_alpha 23.06
_cell_angle_beta 23.06
_cell_angle_gamma 23.06
_symmetry_space_group_name_H-M 'P 1'
_symmetry_Int_Tables_number 1
_symmetry_space_group_name_Hall 'P 1'
loop_
_atom_site_label
_atom_site_type_symbol
_atom_site_fract_x
_atom_site_fract_y
_atom_site_fract_z
N1 N 0.9219 0.9219 0.9219
N2 N 0.0781 0.0781 0.0781
W1 W 0.0000 0.0000 0.0000
Rb1 Rb 0.5000 0.5000 0.5000

---

Record 5
# PBE Pr3In2Au, optimized geometry
# Crystal system   tetragonal
# Volume   28.58 A^3/atom
# D(E_F)   0.8146 states/eV per atom
# Size of the total moment   0.0 μB/f.u.
# Total energy   -26.529 eV per formula unit
data_Pr3In2Au
_cell_length_a 3.7017
_cell_length_b 3.7017
_cell_length_c 12.5145
_cell_angle_alpha 90.00
_cell_angle_beta 90.00
_cell_angle_gamma 90.00
_symmetry_space_group_name_H-M 'P 1'
_symmetry_Int_Tables_number 1
_symmetry_space_group_name_Hall 'P 1'
loop_
_atom_site_label
_atom_site_type_symbol
_atom_site_fract_x
_atom_site_fract_y
_atom_site_fract_z
Au1 Au 0.5000 0.5000 0.5000
Pr1 Pr 0.0000 0.0000 0.0000
Pr2 Pr 0.0000 0.0000 0.6510
Pr3 Pr 0.0000 0.0000 0.3490
In1 In 0.5000 0.5000 0.1749
In2 In 0.5000 0.5000 0.8251

---

Record 6
# PBE Th2Tc4Ge5, optimized geometry
# Crystal system   monoclinic
# Volume   20.98 A^3/atom
# D(E_F)   0.6185 states/eV per atom
# Size of the total moment   0.0 μB/f.u.
# Total energy   -80.299 eV per formula unit
data_Th2Tc4Ge5
_cell_length_a 5.9230
_cell_length_b 7.3571
_cell_length_c 6.8069
_cell_angle_alpha 63.42
_cell_angle_beta 64.21
_cell_angle_gamma 66.26
_symmetry_space_group_name_H-M 'P 1'
_symmetry_Int_Tables_number 1
_symmetry_space_group_name_Hall 'P 1'
loop_
_atom_site_label
_atom_site_type_symbol
_atom_site_fract_x
_atom_site_fract_y
_atom_site_fract_z
Th1 Th 0.7345 0.1834 0.3476
Th2 Th 0.2655 0.8166 0.6524
Ge1 Ge 0.0000 0.5000 0.5000
Ge2 Ge 0.6477 0.2646 0.8793
Ge3 Ge 0.2084 0.2646 0.8793
Ge4 Ge 0.3523 0.7354 0.1207
Ge5 Ge 0.7916 0.7354 0.1207
Tc1 Tc 0.6169 0.9963 0.7699
Tc2 Tc 0.7919 0.5246 0.8915
Tc3 Tc 0.3831 0.0037 0.2301
Tc4 Tc 0.2081 0.4754 0.1085